[1]
A geometry-optimized AsPCS2 structure, computed with GGA-PBE.

Cell: 4.179 4.179 4.075 Å, 90.00 90.00 90.00°
Sites, in units of the cell vectors:
As 0.000 0.000 0.000
P 0.500 0.500 0.000
C 0.500 0.500 0.500
S 0.000 0.500 0.500
S 0.500 0.000 0.500

Results
Uncorrected energy in eV/atom: -4.28
Magnetization in μB per cell: 0.00
Crystal system: tetragonal
Density in g cm⁻³: 4.25
ΔE_f (raw) in eV per atom: 1.22



[2]
A geometry-optimized As2PCSe structure, computed with GGA-PBE.

Cell: 4.468 4.468 4.177 Å, 90.00 90.00 90.00°
Sites, in units of the cell vectors:
As 0.000 0.500 0.000
As 0.500 0.000 0.000
P 0.000 0.000 0.500
C 0.500 0.500 0.000
Se 0.500 0.500 0.500

Results
Uncorrected energy in eV/atom: -4.24
Magnetization in μB per cell: 0.00
Crystal system: tetragonal
Density in g cm⁻³: 5.41
ΔE_f (raw) in eV per atom: 1.25



[3]
A geometry-optimized As2PCSe structure, computed with GGA-PBE.

Cell: 4.692 4.692 4.868 Å, 90.00 90.00 90.00°
Sites, in units of the cell vectors:
As 0.000 0.500 0.000
As 0.500 0.000 0.000
P 0.000 0.000 0.000
C 0.500 0.500 0.500
Se 0.000 0.000 0.500

Results
Uncorrected energy in eV/atom: -3.54
Magnetization in μB per cell: 0.79
Crystal system: tetragonal
Density in g cm⁻³: 4.21
ΔE_f (raw) in eV per atom: 1.94



[4]
A geometry-optimized Th4As2PC structure, computed with GGA-PBE.

Cell: 7.108 4.070 7.217 Å, 90.00 108.85 90.00°
Sites, in units of the cell vectors:
Th 0.225 0.000 0.218
Th 0.242 0.500 0.773
Th 0.758 0.500 0.227
Th 0.775 0.000 0.782
As 0.000 0.000 0.500
As 0.500 0.500 0.500
P 0.500 0.000 0.000
C 0.000 0.500 0.000

Results
Uncorrected energy in eV/atom: -7.83
Magnetization in μB per cell: 0.00
Crystal system: monoclinic
Density in g cm⁻³: 9.42
Energy relative to the elements in eV per atom: -1.13



[5]
A geometry-optimized Th6As3P2C structure, computed with GGA-PBE.

Cell: 9.285 9.285 8.381 Å, 103.63 103.63 25.54°
Sites, in units of the cell vectors:
Th 0.001 0.001 0.220
Th 0.332 0.332 0.424
Th 0.347 0.347 0.917
Th 0.653 0.653 0.083
Th 0.668 0.668 0.576
Th 0.999 0.999 0.780
As 0.171 0.171 0.835
As 0.500 0.500 0.500
As 0.829 0.829 0.165
P 0.165 0.165 0.332
P 0.835 0.835 0.668
C 0.500 0.500 0.000

Results
Uncorrected energy in eV/atom: -7.79
Magnetization in μB per cell: 0.00
Crystal system: monoclinic
Density in g cm⁻³: 9.29
Energy relative to the elements in eV per atom: -1.25



[6]
A geometry-optimized Th6AsP2C3 structure, computed with GGA-PBE.

Cell: 9.005 9.005 8.087 Å, 105.07 105.07 25.28°
Sites, in units of the cell vectors:
Th 0.007 0.007 0.228
Th 0.325 0.325 0.432
Th 0.339 0.339 0.902
Th 0.661 0.661 0.098
Th 0.675 0.675 0.568
Th 0.993 0.993 0.772
As 0.500 0.500 0.500
P 0.166 0.166 0.832
P 0.834 0.834 0.168
C 0.168 0.168 0.332
C 0.500 0.500 0.000
C 0.832 0.832 0.668

Results
Uncorrected energy in eV/atom: -8.19
Magnetization in μB per cell: 0.00
Crystal system: monoclinic
Density in g cm⁻³: 9.63
Energy relative to the elements in eV per atom: -0.88



[7]
A geometry-optimized Th4AsPC2 structure, computed with GGA-PBE.

Cell: 6.828 3.946 7.100 Å, 90.00 108.76 90.00°
Sites, in units of the cell vectors:
Th 0.236 0.000 0.215
Th 0.257 0.500 0.781
Th 0.743 0.500 0.219
Th 0.764 0.000 0.785
As 0.500 0.500 0.500
P 0.000 0.000 0.500
C 0.000 0.500 0.000
C 0.500 0.000 0.000

Results
Uncorrected energy in eV/atom: -8.14
Magnetization in μB per cell: 0.00
Crystal system: monoclinic
Density in g cm⁻³: 9.70
Energy relative to the elements in eV per atom: -0.87



[8]
A geometry-optimized V2AsPC structure, computed with GGA-PBE.

Cell: 4.228 4.228 3.539 Å, 90.00 90.00 90.00°
Sites, in units of the cell vectors:
V 0.000 0.500 0.000
V 0.500 0.000 0.000
As 0.000 0.000 0.500
P 0.500 0.500 0.500
C 0.500 0.500 0.000

Results
Uncorrected energy in eV/atom: -7.22
Magnetization in μB per cell: 0.97
Crystal system: tetragonal
Density in g cm⁻³: 5.77
Energy relative to the elements in eV per atom: 0.28



[9]
A geometry-optimized PaAsC structure, computed with GGA-PBE.

Cell: 3.967 3.967 4.101 Å, 90.00 90.00 120.00°
Sites, in units of the cell vectors:
Pa 0.000 0.000 0.000
As 0.667 0.333 0.500
C 0.333 0.667 0.000

Results
Uncorrected energy in eV/atom: -7.81
Magnetization in μB per cell: 0.00
Crystal system: hexagonal
Density in g cm⁻³: 9.45
Energy relative to the elements in eV per atom: -0.02



[10]
A geometry-optimized Pa4As2C structure, computed with GGA-PBE.

Cell: 4.553 4.553 15.175 Å, 90.00 90.00 90.00°
Sites, in units of the cell vectors:
Pa 0.000 0.000 0.162
Pa 0.000 0.000 0.838
Pa 0.000 0.500 0.000
Pa 0.000 0.500 0.500
Pa 0.500 0.000 0.000
Pa 0.500 0.000 0.500
Pa 0.500 0.500 0.338
Pa 0.500 0.500 0.662
As 0.000 0.000 0.358
As 0.000 0.000 0.642
As 0.500 0.500 0.142
As 0.500 0.500 0.858
C 0.000 0.000 0.000
C 0.500 0.500 0.500

Results
Uncorrected energy in eV/atom: -8.57
Magnetization in μB per cell: 0.00
Crystal system: tetragonal
Density in g cm⁻³: 11.46
Energy relative to the elements in eV per atom: -0.50



[11]
A geometry-optimized Pa3As3C structure, computed with GGA-PBE.

Cell: 6.953 6.953 7.144 Å, 95.11 95.11 111.36°
Sites, in units of the cell vectors:
Pa 0.122 0.122 0.310
Pa 0.129 0.453 0.782
Pa 0.453 0.129 0.782
Pa 0.547 0.871 0.218
Pa 0.871 0.547 0.218
Pa 0.878 0.878 0.690
As 0.160 0.840 0.000
As 0.258 0.742 0.500
As 0.415 0.415 0.131
As 0.585 0.585 0.869
As 0.742 0.258 0.500
As 0.840 0.160 0.000
C 0.160 0.160 0.639
C 0.840 0.840 0.361

Results
Uncorrected energy in eV/atom: -8.08
Magnetization in μB per cell: 2.31
Crystal system: monoclinic
Density in g cm⁻³: 9.72
Energy relative to the elements in eV per atom: -0.70



[12]
A geometry-optimized Pa4As5C structure, computed with GGA-PBE.

Cell: 9.494 9.494 9.494 Å, 156.04 135.48 51.18°
Sites, in units of the cell vectors:
Pa 0.198 0.198 0.000
Pa 0.212 0.500 0.712
Pa 0.788 0.500 0.288
Pa 0.802 0.802 0.000
As 0.111 0.336 0.775
As 0.440 0.664 0.775
As 0.500 0.000 0.500
As 0.560 0.336 0.225
As 0.889 0.664 0.225
C 0.000 0.000 0.000

Results
Uncorrected energy in eV/atom: -7.57
Magnetization in μB per cell: 0.00
Crystal system: orthorhombic
Density in g cm⁻³: 8.97
Energy relative to the elements in eV per atom: -0.52